1.
This record from the Alexandria database describes B5C7 after structural relaxation. The functional is PBE.

Unit cell a=4.6104 b=4.6104 c=7.8066 alpha=115.89 beta=115.89 gamma=32.40
Fractional coordinates of all 12 atoms:
C: 0.6644 0.6644 0.8325
B: 0.6670 0.6670 0.3497
B: 0.9822 0.9822 0.9627
C: 0.9942 0.9942 0.5240
B: 0.2045 0.2045 0.2187
C: 0.1584 0.1584 0.7129
C: 0.8335 0.8335 0.0310
C: 0.5117 0.5117 0.8763
C: 0.3365 0.3365 0.1406
B: 0.4821 0.4821 0.3758
B: 0.3300 0.3300 0.6812
C: 0.8355 0.8355 0.5447

## Properties
Its crystal system is monoclinic. As for the energy relative to the elements: 0.39 eV per atom. Its total energy is -7.772 eV per atom. The theoretical density is 2.9 g/cm³.



2.
This record from the Alexandria database describes MgTc3O after structural relaxation. The functional is PBE.

Unit cell a=4.1054 b=4.1054 c=4.1054 alpha=90.00 beta=90.00 gamma=90.00
Fractional coordinates of all 5 atoms:
Tc: 0.0000 0.5000 0.0000
O: 0.0000 0.0000 0.0000
Tc: 0.5000 0.0000 0.0000
Mg: 0.5000 0.5000 0.5000
Tc: 0.0000 0.0000 0.5000

## Properties
For the formation energy from raw total energies, the calculation gives 0.047 eV/atom. Its crystal system is cubic. Its total energy is -7.483 eV per atom. The theoretical density is 8.0 g/cm³.



3.
This record from the Alexandria database describes SiNiPt after structural relaxation. The functional is PBE.

Unit cell a=3.6976 b=3.5834 c=6.1353 alpha=90.00 beta=90.00 gamma=90.00
Fractional coordinates of all 6 atoms:
Pt: 0.5000 0.5000 0.3592
Pt: 0.0000 0.5000 0.7387
Ni: 0.5000 0.0000 0.7336
Si: 0.5000 0.5000 0.9852
Ni: 0.0000 0.0000 0.0997
Si: 0.0000 0.0000 0.4659

## Properties
For the formation energy from raw total energies, the calculation gives -0.550 eV/atom. Its crystal system is orthorhombic. Its total energy is -6.299 eV per atom. The theoretical density is 11.5 g/cm³.



4.
This record from the Alexandria database describes Ac4MgIn2 after structural relaxation. The functional is PBE.

Unit cell a=5.7442 b=5.7442 c=9.7947 alpha=72.95 beta=72.95 gamma=60.00
Fractional coordinates of all 7 atoms:
Ac: 0.6191 0.6191 0.1428
In: 0.2541 0.2541 0.2378
Ac: 0.3809 0.3809 0.8572
In: 0.7459 0.7459 0.7622
Ac: 0.1291 0.1291 0.6127
Ac: 0.8709 0.8709 0.3873
Mg: 0.0000 0.0000 0.0000

## Properties
Its crystal system is trigonal. As for the energy relative to the elements: -0.22 eV per atom. Its total energy is -3.581 eV per atom. The theoretical density is 7.3 g/cm³.



5.
This record from the Alexandria database describes HfH2I after structural relaxation. The functional is PBE.

Unit cell a=4.4298 b=4.4298 c=7.0551 alpha=71.70 beta=71.70 gamma=90.00
Fractional coordinates of all 8 atoms:
Hf: 0.0000 0.0000 0.0000
H: 0.3750 0.1252 0.7500
I: 0.5000 0.5000 0.0000
H: 0.8750 0.1248 0.7500
H: 0.8748 0.1250 0.2500
H: 0.8752 0.6250 0.2500
Hf: 0.7500 0.2500 0.5000
I: 0.2500 0.7500 0.5000

## Properties
Its crystal system is tetragonal. Its total energy is -4.582 eV per atom. The theoretical density is 8.2 g/cm³.



6.
This record from the Alexandria database describes Rb4Np3InTe8 after structural relaxation. The functional is PBE.

Unit cell a=9.2765 b=9.9790 c=9.2759 alpha=117.70 beta=120.00 gamma=90.00
Fractional coordinates of all 16 atoms:
Rb: 0.0000 0.0000 0.5000
Te: 0.7250 0.6954 0.9602
Rb: 0.0000 0.0000 0.0000
Te: 0.7648 0.3046 0.0398
In: 0.0000 0.5000 0.0000
Te: 0.2352 0.6954 0.4704
Np: 0.5000 0.5000 0.0000
Te: 0.2670 0.3009 0.5339
Te: 0.2750 0.3046 0.0398
Np: 0.0000 0.5000 0.5000
Np: 0.5000 0.5000 0.5000
Te: 0.7330 0.6991 0.4661
Rb: 0.5000 0.0000 0.0000
Te: 0.2352 0.6954 0.9602
Te: 0.7648 0.3046 0.5296
Rb: 0.5000 0.0000 0.5000

## Properties
For the formation energy from raw total energies, the calculation gives -0.811 eV/atom. Its crystal system is trigonal. Its total energy is -5.222 eV per atom. The theoretical density is 5.8 g/cm³.



7.
This record from the Alexandria database describes Ca2AlCd6Cu after structural relaxation. The functional is PBE.

Unit cell a=6.9910 b=6.9910 c=12.3508 alpha=73.56 beta=73.56 gamma=60.00
Fractional coordinates of all 20 atoms:
Ca: 0.8914 0.8914 0.3257
Ca: 0.7179 0.7179 0.8462
Cd: 0.6654 0.6654 0.5932
Cd: 0.2209 0.6600 0.8981
Cd: 0.6654 0.0761 0.5932
Al: 0.4280 0.4280 0.7161
Cd: 0.7791 0.7791 0.1019
Cu: 0.5000 0.5000 0.5000
Cd: 0.7791 0.3400 0.1019
Cd: 0.0761 0.6654 0.5932
Cu: 0.0000 0.0000 0.0000
Cd: 0.6600 0.2209 0.8981
Ca: 0.2821 0.2821 0.1538
Ca: 0.1086 0.1086 0.6743
Cd: 0.3346 0.3346 0.4068
Cd: 0.2209 0.2209 0.8981
Cd: 0.9239 0.3346 0.4068
Cd: 0.3400 0.7791 0.1019
Cd: 0.3346 0.9239 0.4068
Al: 0.5720 0.5720 0.2839

## Properties
Its crystal system is trigonal. As for the energy relative to the elements: -0.11 eV per atom. Its total energy is -1.838 eV per atom. The theoretical density is 5.7 g/cm³.



8.
This record from the Alexandria database describes MgNiMo after structural relaxation. The functional is PBE.

Unit cell a=2.6843 b=4.5536 c=7.4633 alpha=84.02 beta=82.04 gamma=88.38
Fractional coordinates of all 6 atoms:
Ni: 0.2728 0.8535 0.5286
Ni: 0.4693 0.2397 0.2850
Mo: 0.1745 0.2846 0.9821
Mo: 0.5664 0.8086 0.8317
Mg: 0.9215 0.7470 0.2166
Mg: 0.8201 0.3461 0.5972

## Properties
Its crystal system is triclinic. As for the energy relative to the elements: 0.09 eV per atom. Its total energy is -5.983 eV per atom. The theoretical density is 6.6 g/cm³.



9.
This record from the Alexandria database describes Tb7PmDy3 after structural relaxation. The functional is PBE.

Unit cell a=8.6092 b=7.0755 c=7.0755 alpha=120.00 beta=90.00 gamma=90.00
Fractional coordinates of all 11 atoms:
Dy: 0.7840 0.5003 0.4997
Pm: 0.4450 0.3333 0.6667
Tb: 0.1153 0.6645 0.8322
Dy: 0.7840 0.9993 0.4997
Dy: 0.7840 0.5003 0.0007
Tb: 0.4505 0.8321 0.1679
Tb: 0.4505 0.8321 0.6643
Tb: 0.1208 0.6667 0.3333
Tb: 0.1153 0.1678 0.3355
Tb: 0.1153 0.1678 0.8322
Tb: 0.4505 0.3357 0.1679

## Properties
Its crystal system is trigonal. As for the energy relative to the elements: 0.19 eV per atom. Its total energy is -4.443 eV per atom. The theoretical density is 7.8 g/cm³.



10.
This record from the Alexandria database describes KY after structural relaxation. The functional is PBE.

Unit cell a=14.7892 b=14.7892 c=3.6536 alpha=90.00 beta=90.00 gamma=90.00
Fractional coordinates of all 16 atoms:
K: 0.3858 0.6795 0.5000
Y: 0.9439 0.6005 0.0000
K: 0.8316 0.8728 0.0000
K: 0.6142 0.3205 0.5000
Y: 0.8631 0.4223 0.5000
Y: 0.4223 0.1369 0.5000
K: 0.6795 0.6142 0.5000
K: 0.8728 0.1684 0.0000
K: 0.1684 0.1272 0.0000
Y: 0.0561 0.3995 0.0000
K: 0.1272 0.8316 0.0000
Y: 0.6005 0.0561 0.0000
Y: 0.3995 0.9439 0.0000
K: 0.3205 0.3858 0.5000
Y: 0.5777 0.8631 0.5000
Y: 0.1369 0.5777 0.5000

## Properties
Its crystal system is tetragonal. As for the energy relative to the elements: 0.36 eV per atom. Its total energy is -3.423 eV per atom. The theoretical density is 2.1 g/cm³.



11.
This record from the Alexandria database describes EuErN after structural relaxation. The functional is PBE.

Unit cell a=3.5457 b=3.5457 c=6.3038 alpha=90.00 beta=90.00 gamma=120.00
Fractional coordinates of all 3 atoms:
N: 0.6667 0.3333 0.3668
Eu: 0.0000 0.0000 0.0972
Er: 0.3333 0.6667 0.5359

## Properties
For the formation energy from raw total energies, the calculation gives -0.923 eV/atom. Its crystal system is trigonal. Its total energy is -8.644 eV per atom. The theoretical density is 8.1 g/cm³.



12.
This record from the Alexandria database describes PmTm2Mn after structural relaxation. The functional is PBE.

Unit cell a=3.4430 b=3.4430 c=8.9602 alpha=90.00 beta=90.00 gamma=90.00
Fractional coordinates of all 4 atoms:
Tm: 0.0000 0.0000 0.1918
Mn: 0.5000 0.5000 0.0000
Tm: 0.0000 0.0000 0.8082
Pm: 0.5000 0.5000 0.5000

## Properties
Its crystal system is tetragonal. As for the energy relative to the elements: 0.10 eV per atom. Its total energy is -5.614 eV per atom. The theoretical density is 8.4 g/cm³.



13.
This record from the Alexandria database describes ThTlHgI6 after structural relaxation. The functional is PBE.

Unit cell a=8.3367 b=8.3367 c=14.2562 alpha=90.00 beta=90.00 gamma=120.00
Fractional coordinates of all 18 atoms:
I: 0.0366 0.3614 0.6240
Tl: 0.3333 0.6667 0.2500
Th: 0.6667 0.3333 0.2500
I: 0.6751 0.6386 0.1240
Hg: 0.0000 0.0000 0.5000
I: 0.3249 0.9634 0.6240
I: 0.6751 0.0366 0.3760
I: 0.3249 0.3614 0.8760
I: 0.6386 0.6751 0.6240
I: 0.9634 0.6386 0.3760
I: 0.9634 0.3249 0.1240
Th: 0.3333 0.6667 0.7500
I: 0.3614 0.3249 0.3760
Hg: 0.0000 0.0000 0.0000
I: 0.0366 0.6751 0.8760
Tl: 0.6667 0.3333 0.7500
I: 0.6386 0.9634 0.8760
I: 0.3614 0.0366 0.1240

## Properties
For the formation energy from raw total energies, the calculation gives -0.805 eV/atom. Its crystal system is trigonal. Its total energy is -2.960 eV per atom. The theoretical density is 5.4 g/cm³.



14.
This record from the Alexandria database describes GaHgSe2O8 after structural relaxation. The functional is PBE.

Unit cell a=5.0554 b=5.0554 c=7.8456 alpha=89.64 beta=89.64 gamma=65.88
Fractional coordinates of all 12 atoms:
Hg: 0.0000 0.0000 0.5000
O: 0.7696 0.7696 0.0373
Se: 0.6438 0.6438 0.2037
O: 0.7250 0.2252 0.8128
O: 0.2304 0.2304 0.9627
O: 0.7200 0.7200 0.3973
O: 0.2800 0.2800 0.6027
O: 0.2252 0.7250 0.8128
O: 0.2750 0.7748 0.1872
Se: 0.3562 0.3562 0.7963
O: 0.7748 0.2750 0.1872
Ga: 0.0000 0.0000 0.0000

## Properties
For the formation energy from raw total energies, the calculation gives -0.717 eV/atom. Its crystal system is monoclinic. Its total energy is -4.881 eV per atom. The theoretical density is 5.0 g/cm³.



15.
This record from the Alexandria database describes Nd5Ti2O12 after structural relaxation. The functional is PBE.

Unit cell a=6.0183 b=7.0594 c=7.5874 alpha=105.54 beta=90.00 gamma=115.23
Fractional coordinates of all 19 atoms:
Ti: 0.7588 0.0000 0.0000
O: 0.4989 0.9978 0.1755
O: 0.0949 0.6916 0.4233
O: 0.5967 0.6916 0.4233
Nd: 0.6934 0.3868 0.8381
O: 0.9996 0.9993 0.8248
O: 0.5784 0.6810 0.9196
O: 0.9051 0.3084 0.5767
O: 0.1026 0.6810 0.9196
O: 0.5011 0.0022 0.8245
O: 0.4033 0.3084 0.5767
Nd: 0.3066 0.6132 0.1619
O: 0.4216 0.3190 0.0804
Ti: 0.2412 0.0000 0.0000
Nd: 0.6924 0.3848 0.3547
O: 0.0004 0.0007 0.1752
Nd: 0.0000 0.0000 0.5000
O: 0.8974 0.3190 0.0804
Nd: 0.3076 0.6152 0.6453

## Properties
For the formation energy from raw total energies, the calculation gives -3.215 eV/atom. Its crystal system is monoclinic. Its total energy is -8.432 eV per atom. The theoretical density is 6.0 g/cm³.



16.
This record from the Alexandria database describes SrAlZn3Ag after structural relaxation. The functional is PBE.

Unit cell a=5.8550 b=6.4476 c=7.4904 alpha=115.49 beta=90.00 gamma=90.00
Fractional coordinates of all 12 atoms:
Zn: 0.5000 0.6934 0.0000
Zn: 0.7500 0.8599 0.7197
Sr: 0.2500 0.7116 0.4231
Zn: 0.5000 0.3066 0.0000
Zn: 0.0000 0.6934 0.0000
Zn: 0.0000 0.3066 0.0000
Ag: 0.7500 0.6542 0.3083
Al: 0.7500 0.0586 0.1172
Al: 0.2500 0.9414 0.8828
Ag: 0.2500 0.3458 0.6917
Sr: 0.7500 0.2884 0.5769
Zn: 0.2500 0.1401 0.2803

## Properties
Its crystal system is orthorhombic. As for the energy relative to the elements: -0.04 eV per atom. Its total energy is -2.060 eV per atom. The theoretical density is 5.4 g/cm³.



17.
This record from the Alexandria database describes K2AlGeS4 after structural relaxation. The functional is PBE.

Unit cell a=6.0101 b=7.4770 c=11.6599 alpha=84.05 beta=75.07 gamma=66.30
Fractional coordinates of all 16 atoms:
S: 0.1307 0.3085 0.3921
S: 0.9187 0.8085 0.8921
S: 0.8313 0.6915 0.6079
K: 0.1802 0.0000 0.6395
S: 0.6193 0.1915 0.1079
Ge: 0.5000 0.0000 0.0000
Ge: 0.2500 0.5000 0.5000
S: 0.5608 0.3085 0.6079
K: 0.8198 0.0000 0.3605
Al: 0.0000 0.0000 0.0000
S: 0.2728 0.8085 0.1079
K: 0.9302 0.5000 0.1395
Al: 0.7500 0.5000 0.5000
K: 0.5698 0.5000 0.8605
S: 0.1892 0.1915 0.8921
S: 0.4772 0.6915 0.3921

## Properties
For the formation energy from raw total energies, the calculation gives -0.914 eV/atom. Its crystal system is orthorhombic. Its total energy is -4.297 eV per atom. The theoretical density is 2.2 g/cm³.



18.
This record from the Alexandria database describes LaCdRe2 after structural relaxation. The functional is PBE.

Unit cell a=4.5539 b=4.2003 c=4.2003 alpha=90.00 beta=90.00 gamma=90.00
Fractional coordinates of all 4 atoms:
Re: 0.0000 0.5000 0.5000
La: 0.5000 0.0000 0.5000
Re: 0.0000 0.0000 0.0000
Cd: 0.5000 0.5000 0.0000

## Properties
Its crystal system is tetragonal. As for the energy relative to the elements: 0.86 eV per atom. Its total energy is -6.828 eV per atom. The theoretical density is 12.9 g/cm³.



19.
This record from the Alexandria database describes KMg2GaP after structural relaxation. The functional is PBE.

Unit cell a=5.7587 b=5.6457 c=5.7587 alpha=90.00 beta=90.00 gamma=90.00
Fractional coordinates of all 5 atoms:
K: 0.0000 0.0000 0.0000
Mg: 0.5000 0.0000 0.0000
P: 0.5000 0.5000 0.5000
Mg: 0.0000 0.0000 0.5000
Ga: 0.0000 0.5000 0.0000

## Properties
Its crystal system is tetragonal. As for the energy relative to the elements: 1.44 eV per atom. Its total energy is -1.105 eV per atom. The theoretical density is 1.7 g/cm³.



20.
This record from the Alexandria database describes Pr3ScTl3S8 after structural relaxation. The functional is PBE.

Unit cell a=8.2444 b=8.2450 c=8.7302 alpha=118.15 beta=90.02 gamma=119.99
Fractional coordinates of all 15 atoms:
S: 0.7793 0.5587 0.3007
S: 0.2205 0.9787 0.6993
Tl: 0.5000 0.5000 0.0000
Pr: 0.5000 0.0000 0.5000
S: 0.2207 0.4413 0.6993
Tl: 0.0000 0.5000 0.0000
Tl: 0.0000 0.0000 0.0000
S: 0.7581 0.9787 0.6992
S: 0.2419 0.0213 0.3008
Pr: 0.5000 0.5000 0.5000
S: 0.7795 0.0213 0.3007
Pr: 0.0000 0.5000 0.5000
S: 0.7376 0.4751 0.7127
S: 0.2624 0.5249 0.2873
Sc: 0.0000 0.0000 0.5000

## Properties
For the formation energy from raw total energies, the calculation gives -1.413 eV/atom. Its crystal system is trigonal. Its total energy is -5.466 eV per atom. The theoretical density is 5.2 g/cm³.